Compound: CsBaDyF6
Source: the Alexandria database
Functional: PBE
Structure: relaxed

Unit cell a=8.5828 b=8.3292 c=8.2849 alpha=120.18 beta=121.20 gamma=90.00
Fractional coordinates of all 18 atoms:
Dy (0.5000, 0.0000, 0.0000)
Dy (0.5000, 0.5000, 0.0000)
F (0.1900, 0.8390, 0.7351)
F (0.1290, 0.8790, 0.2581)
F (0.8710, 0.1210, 0.7419)
F (0.5452, 0.8390, 0.7351)
F (0.5673, 0.8173, 0.1347)
F (0.8100, 0.6038, 0.2649)
F (0.5452, 0.3962, 0.7351)
F (0.4548, 0.6038, 0.2649)
F (0.4548, 0.1610, 0.2649)
F (0.8100, 0.1610, 0.2649)
F (0.4327, 0.1827, 0.8653)
F (0.1900, 0.3962, 0.7351)
Ba (0.5000, 0.0000, 0.5000)
Ba (0.0000, 0.0000, 0.5000)
Cs (0.8528, 0.6028, 0.7057)
Cs (0.1472, 0.3972, 0.2943)

Results
V = 22.8 Å³ per atom
Uncorrected energy = -104.00 eV for the cell shown
ΔE_f (raw) = -3710.3 meV per atom
Symmetry = Imma (74)

Compound: NaYCd4
Source: the Alexandria database
Functional: PBE
Structure: relaxed

Unit cell a=3.6273 b=5.8383 c=8.0755 alpha=104.19 beta=77.02 gamma=71.90
Fractional coordinates of all 6 atoms:
Cd (0.6624, 0.0097, 0.6654)
Cd (0.8371, 0.4883, 0.8375)
Cd (0.1629, 0.5117, 0.1625)
Cd (0.3376, 0.9903, 0.3346)
Na (0.0000, 0.0000, 0.0000)
Y (0.5000, 0.5000, 0.5000)

Results
V = 24.8 Å³ per atom
Formation energy = -0.15 eV per atom
Uncorrected energy = -12.37 eV for the cell shown
Symmetry = C2/m (12)

Compound: GeSbAu2O
Source: the Alexandria database
Functional: PBE
Structure: relaxed

Unit cell a=5.1022 b=5.6263 c=5.1022 alpha=90.00 beta=90.00 gamma=90.00
Site moments in Bohr magnetons follow the coordinates.
Fractional coordinates of all 5 atoms:
Au (0.5000, 0.0000, 0.0000)  0.01
Au (0.0000, 0.0000, 0.5000)  0.00
O (0.5000, 0.5000, 0.5000)  -0.25
Sb (0.0000, 0.0000, 0.0000)  0.00
Ge (0.0000, 0.5000, 0.0000)  0.08

Results
V = 29.3 Å³ per atom
Uncorrected energy = -15.21 eV for the cell shown
ΔE_f (raw) = 1008.5 meV per atom
Symmetry = P4/mmm (123)

Q: Which of these has the lowest V?
A: CsBaDyF6